The following is a SCAN calculation of a crystal of ScAl2Tc2 relaxed with PBEsol, from the Alexandria database.

a = 6.911 Å, b = 6.911 Å, c = 3.207 Å
α = 90.00°, β = 90.00°, γ = 90.00°
Element x y z (fractional)
1 Sc 0.000 0.000 0.000
2 Sc 0.500 0.500 0.000
3 Al 0.128 0.372 0.000
4 Al 0.372 0.872 0.000
5 Al 0.628 0.128 0.000
6 Al 0.872 0.628 0.000
7 Tc 0.167 0.667 0.500
8 Tc 0.333 0.167 0.500
9 Tc 0.667 0.833 0.500
10 Tc 0.833 0.333 0.500

The space group is P4/mbm (127). As for the formation energy from the elements: -0.4968 eV per atom.


The following is a SCAN calculation of a crystal of Sc2AlTc relaxed with PBEsol, from the Alexandria database.

a = 2.941 Å, b = 2.941 Å, c = 8.749 Å
α = 90.00°, β = 90.00°, γ = 107.78°
Element x y z (fractional)
1 Sc 0.000 0.000 0.226
2 Sc 0.000 0.000 0.774
3 Al 0.500 0.500 0.500
4 Tc 0.500 0.500 0.000

The space group is Cmmm (65). As for the formation energy from the elements: -0.2182 eV per atom. The value obtained for the energy above the most stable polymorph in this dataset is 0.206 eV per atom.


The following is a SCAN calculation of a crystal of ScAlTc relaxed with PBEsol, from the Alexandria database.

a = 5.089 Å, b = 5.089 Å, c = 5.089 Å
α = 142.25°, β = 142.25°, γ = 54.45°
Element x y z (fractional)
1 Sc 0.000 0.000 0.000
2 Al 0.304 0.304 0.000
3 Tc 0.670 0.670 0.000

The space group is I4mm (107). As for the formation energy from the elements: -0.4555 eV per atom.


The following is a SCAN calculation of a crystal of Sc2AlTc relaxed with PBEsol, from the Alexandria database.

a = 4.623 Å, b = 4.623 Å, c = 4.623 Å
α = 60.00°, β = 60.00°, γ = 60.00°
Element x y z (fractional)
1 Sc 0.250 0.250 0.250
2 Sc 0.750 0.750 0.750
3 Al 0.000 0.000 0.000
4 Tc 0.500 0.500 0.500

The space group is Fm-3m (225). As for the formation energy from the elements: -0.4246 eV per atom. The value obtained for the energy above the most stable polymorph in this dataset is 0.000 eV per atom.


The following is a SCAN calculation of a crystal of ScAlZnTc2 relaxed with PBEsol, from the Alexandria database.

a = 4.519 Å, b = 4.519 Å, c = 4.555 Å
α = 90.00°, β = 90.00°, γ = 90.00°
Element x y z (fractional)
1 Sc 0.000 0.000 0.000
2 Al 0.500 0.500 0.000
3 Zn 0.000 0.000 0.500
4 Tc 0.000 0.500 0.500
5 Tc 0.500 0.000 0.500

The space group is P4/mmm (123). As for the formation energy from the elements: 0.9318 eV per atom.


The following is a SCAN calculation of a crystal of Sc3AlTe relaxed with PBEsol, from the Alexandria database.

a = 5.179 Å, b = 5.179 Å, c = 5.179 Å
α = 90.00°, β = 90.00°, γ = 90.00°
Element x y z (fractional)
1 Sc 0.000 0.000 0.500
2 Sc 0.000 0.500 0.000
3 Sc 0.500 0.000 0.000
4 Al 0.500 0.500 0.500
5 Te 0.000 0.000 0.000

The space group is Pm-3m (221). For the energy relative to the elements, uncorrected, the calculation gives 1.7 kcal/mol of atoms.


The following is a SCAN calculation of a crystal of ScAl2Te relaxed with PBEsol, from the Alexandria database.

a = 3.778 Å, b = 3.777 Å, c = 5.693 Å
α = 90.00°, β = 90.33°, γ = 90.00°
Element x y z (fractional)
1 Sc 0.000 0.000 0.000
2 Al 0.500 0.500 0.237
3 Al 0.500 0.500 0.763
4 Te 0.000 0.000 0.500

The space group is P2/m (10). For the energy relative to the elements, uncorrected, the calculation gives -4.8 kcal/mol of atoms.


The following is a SCAN calculation of a crystal of ScAl2Tl relaxed with PBEsol, from the Alexandria database.

a = 3.054 Å, b = 4.627 Å, c = 5.683 Å
α = 90.00°, β = 90.00°, γ = 90.00°
Element x y z (fractional)
1 Sc 0.000 0.000 0.000
2 Al 0.500 0.000 0.541
3 Al 0.500 0.500 0.779
4 Tl 0.500 0.500 0.262

The space group is Pmm2 (25). As for the formation energy from the elements: -0.1811 eV per atom.


The following is a SCAN calculation of a crystal of Sc2AlTl relaxed with PBEsol, from the Alexandria database.

a = 4.948 Å, b = 4.948 Å, c = 5.856 Å
α = 99.75°, β = 99.75°, γ = 38.55°
Element x y z (fractional)
1 Sc 0.246 0.246 0.235
2 Sc 0.754 0.754 0.765
3 Al 0.500 0.500 0.000
4 Tl 0.000 0.000 0.500

The space group is C2/m (12). As for the formation energy from the elements: -0.2884 eV per atom.


The following is a SCAN calculation of a crystal of Sc2AlTl relaxed with PBEsol, from the Alexandria database.

a = 3.161 Å, b = 4.150 Å, c = 6.231 Å
α = 90.00°, β = 90.00°, γ = 90.00°
Element x y z (fractional)
1 Sc 0.000 0.000 0.240
2 Sc 0.000 0.000 0.760
3 Al 0.500 0.500 0.000
4 Tl 0.500 0.500 0.500

The space group is Pmmm (47). As for the formation energy from the elements: -0.4621 eV per atom.


The following is a SCAN calculation of a crystal of Sc2AlTl relaxed with PBEsol, from the Alexandria database.

a = 5.719 Å, b = 5.719 Å, c = 5.719 Å
α = 137.54°, β = 137.54°, γ = 61.61°
Element x y z (fractional)
1 Sc 0.000 0.000 0.000
2 Sc 0.750 0.250 0.500
3 Al 0.250 0.750 0.500
4 Tl 0.500 0.500 0.000

The space group is I-4m2 (119). As for the formation energy from the elements: -0.3554 eV per atom.


The following is a SCAN calculation of a crystal of Sc2AlTl relaxed with PBEsol, from the Alexandria database.

a = 3.179 Å, b = 3.179 Å, c = 8.126 Å
α = 90.00°, β = 90.00°, γ = 90.00°
Element x y z (fractional)
1 Sc 0.000 0.000 0.236
2 Sc 0.000 0.000 0.764
3 Al 0.500 0.500 0.000
4 Tl 0.500 0.500 0.500

The space group is P4/mmm (123). As for the formation energy from the elements: -0.4412 eV per atom.


Number 1: total magnetization 0.995 μB/f.u.. Number 2: total magnetization 0.000 μB/f.u.. Number 3: total magnetization 0.006 μB/f.u.. Number 4: total magnetization 0.001 μB/f.u.. Number 5: total magnetization 2.166 μB/f.u.. Number 6: total magnetization 0.000 μB/f.u.. Number 7: total magnetization 0.006 μB/f.u.. Number 8: total magnetization 0.000 μB/f.u.. Number 9: total magnetization 0.000 μB/f.u.. Number 10: total magnetization 0.756 μB/f.u.. Number 11: total magnetization 0.000 μB/f.u.. Number 12: total magnetization 0.489 μB/f.u..